DFT (GGA-PBE) results for crystalline CrNi2Te at its relaxed geometry.

Properties
- calculated volume (Å³/atom) = 14.016
- D(E_F) (states/eV/cell) = 16.85
- magnetization (μB/cell) = 10.658
- formation energy (no corrections) (eV per atom) = 0.240
- uncorrected energy (eV per atom) = -5.8414

Cell: 6.076 6.076 6.076 Å, 90.00 90.00 90.00°
Space group F-43m (No. 216)
Symmetry-distinct sites (fractional):
Cr  0.000  0.000  0.000 x4
Ni  0.000  0.000  0.500 x4
Ni  0.250  0.250  0.250 x4
Te  0.250  0.250  0.750 x4

DFT (GGA-PBE) results for crystalline CrNiTe2 at its relaxed geometry.

Properties
- calculated volume (Å³/atom) = 20.788
- D(E_F) (states/eV/cell) = 10.85
- magnetization (μB/cell) = 11.961
- excess energy over the best structure of this formula in the dataset (eV per formula unit) = 0.91
- formation energy (no corrections) (eV per atom) = 0.051
- uncorrected energy (eV per atom) = -5.3711

Cell: 3.9386 3.9386 18.5683 Å, 90.00 90.00 120.00°
Space group R-3m (No. 166, hexagonal axes)
Symmetry-distinct sites (fractional):
Cr  0.0000  0.0000  0.0000 x3
Ni  0.0000  0.0000  0.5000 x3
Te  0.0000  0.0000  0.2455 x6

DFT (GGA-PBE) results for crystalline Cr2NiTe4 at its relaxed geometry.

Properties
- calculated volume (Å³/atom) = 24.205
- D(E_F) (states/eV/cell) = 20.03
- magnetization (μB/cell) = 20.272
- excess energy over the best structure of this formula in the dataset (eV per formula unit) = 0.00
- formation energy (no corrections) (eV per atom) = -0.191
- uncorrected energy (eV per atom) = -5.5612

Cell: 7.829 7.829 11.056 Å, 90.00 90.00 90.00°
Space group I4_1/amd (No. 141, origin choice 2)
Symmetry-distinct sites (fractional):
Cr  0.000  0.000  0.000 x8
Ni  0.000  0.250  0.375 x4
Te  0.000  0.009  0.754 x16

Question: Which value of formation energy (no corrections) does entry 2 give?
Answer: 0.051 eV per atom

Question: Which value of uncorrected energy does entry 1 give?
Answer: -5.8414 eV per atom